No. 1
# La2HgPb PBEsol relaxed
# DFT total energy: -16.72 eV per cell
data_La2HgPb
_space_group_name_H-M_alt 'P 1'
_space_group_IT_number 1
_space_group_name_Hall 'P 1'
_cell_length_a 9.4990
_cell_length_b 9.4990
_cell_length_c 9.4990
_cell_angle_alpha 24.45
_cell_angle_beta 24.45
_cell_angle_gamma 24.45
loop_
_atom_site_label
_atom_site_type_symbol
_atom_site_fract_x
_atom_site_fract_y
_atom_site_fract_z
La1 La 0.2479 0.2479 0.2479
La2 La 0.7521 0.7521 0.7521
Hg1 Hg 0.5000 0.5000 0.5000
Pb1 Pb 0.0000 0.0000 0.0000

No. 2
# LaHgPb2 PBEsol relaxed
# DFT total energy: -15.58 eV per cell
data_LaHgPb2
_space_group_name_H-M_alt 'P 1'
_space_group_IT_number 1
_space_group_name_Hall 'P 1'
_cell_length_a 5.9862
_cell_length_b 5.9862
_cell_length_c 4.6984
_cell_angle_alpha 112.97
_cell_angle_beta 112.97
_cell_angle_gamma 46.21
loop_
_atom_site_label
_atom_site_type_symbol
_atom_site_fract_x
_atom_site_fract_y
_atom_site_fract_z
La1 La 0.0000 0.0000 0.0000
Hg1 Hg 0.7620 0.7620 0.2622
Pb1 Pb 0.2595 0.2595 0.7603
Pb2 Pb 0.5251 0.5251 0.5247

No. 3
# LaHg2Pb PBEsol relaxed
# DFT total energy: -12.50 eV per cell
data_LaHg2Pb
_space_group_name_H-M_alt 'P 1'
_space_group_IT_number 1
_space_group_name_Hall 'P 1'
_cell_length_a 5.6758
_cell_length_b 5.6758
_cell_length_c 5.6758
_cell_angle_alpha 130.14
_cell_angle_beta 130.14
_cell_angle_gamma 73.18
loop_
_atom_site_label
_atom_site_type_symbol
_atom_site_fract_x
_atom_site_fract_y
_atom_site_fract_z
La1 La 0.0000 0.0000 0.0000
Hg1 Hg 0.2500 0.7500 0.5000
Hg2 Hg 0.7500 0.2500 0.5000
Pb1 Pb 0.5000 0.5000 0.0000

No. 4
# La2HgPb PBEsol relaxed
# DFT total energy: -17.61 eV per cell
data_La2HgPb
_space_group_name_H-M_alt 'P 1'
_space_group_IT_number 1
_space_group_name_Hall 'P 1'
_cell_length_a 3.5805
_cell_length_b 4.3568
_cell_length_c 7.4375
_cell_angle_alpha 90.00
_cell_angle_beta 90.00
_cell_angle_gamma 90.00
loop_
_atom_site_label
_atom_site_type_symbol
_atom_site_fract_x
_atom_site_fract_y
_atom_site_fract_z
La1 La 0.0000 0.0000 0.2458
La2 La 0.0000 0.0000 0.7542
Hg1 Hg 0.5000 0.5000 0.0000
Pb1 Pb 0.5000 0.5000 0.5000

The following spin magnetization values (in μB per formula unit) correspond, in order, to the records above: 0.00 0.00 0.00 0.00.
The following density values (in g/cm3) correspond, in order, to the records above: 8.82 11.37 11.89 9.81.